1.
AlZn2Cr: relaxed, PBE-GGA.

a b c (Å): 9.732 2.665 4.791
angles (deg): 90.00 117.19 90.00
Positions (direct):
Al: 0.000 0.000 0.000
Al: 0.500 0.500 0.000
Zn: 0.243 0.000 0.574
Zn: 0.489 0.000 0.490
Zn: 0.743 0.500 0.574
Zn: 0.989 0.500 0.490
Cr: 0.244 0.500 0.063
Cr: 0.744 0.000 0.063

Computed properties:
Crystal system: monoclinic
Formation energy (eV/atom): 0.073
Final energy (eV per atom): -3.91

***

2.
AlZn2Cr: relaxed, PBE-GGA.

a b c (Å): 5.189 7.986 2.683
angles (deg): 90.00 90.00 90.00
Positions (direct):
Al: 0.000 0.000 0.000
Al: 0.500 0.500 0.000
Zn: 0.250 0.250 0.500
Zn: 0.250 0.750 0.500
Zn: 0.750 0.250 0.500
Zn: 0.750 0.750 0.500
Cr: 0.000 0.500 0.000
Cr: 0.500 0.000 0.000

Computed properties:
Crystal system: orthorhombic
Formation energy (eV/atom): 0.134
Final energy (eV per atom): -3.84

***

3.
AlZnCr: relaxed, PBE-GGA.

a b c (Å): 4.154 4.503 8.767
angles (deg): 90.00 90.00 90.00
Positions (direct):
Al: 0.250 0.180 0.000
Al: 0.250 0.680 0.500
Al: 0.750 0.320 0.500
Al: 0.750 0.820 0.000
Zn: 0.250 0.170 0.327
Zn: 0.250 0.670 0.827
Zn: 0.750 0.330 0.827
Zn: 0.750 0.830 0.327
Cr: 0.250 0.153 0.664
Cr: 0.250 0.653 0.164
Cr: 0.750 0.347 0.164
Cr: 0.750 0.847 0.664

Computed properties:
Crystal system: orthorhombic
Formation energy (eV/atom): 0.081
Final energy (eV per atom): -4.80

***

4.
AlZnCr2: relaxed, PBE-GGA.

a b c (Å): 2.777 2.777 25.067
angles (deg): 90.00 90.00 120.00
Positions (direct):
Al: 0.000 0.000 0.000
Al: 0.333 0.667 0.667
Al: 0.667 0.333 0.333
Zn: 0.000 0.000 0.761
Zn: 0.333 0.667 0.428
Zn: 0.667 0.333 0.094
Cr: 0.000 0.000 0.247
Cr: 0.000 0.000 0.517
Cr: 0.333 0.667 0.184
Cr: 0.333 0.667 0.913
Cr: 0.667 0.333 0.580
Cr: 0.667 0.333 0.850

Computed properties:
Crystal system: trigonal
Formation energy (eV/atom): 0.188
Final energy (eV per atom): -5.88

***

5.
AlZnCr2: relaxed, PBE-GGA.

a b c (Å): 6.707 6.707 4.987
angles (deg): 90.00 90.00 90.00
Positions (direct):
Al: 0.000 0.000 0.000
Al: 0.000 0.500 0.250
Al: 0.500 0.000 0.750
Al: 0.500 0.500 0.500
Zn: 0.000 0.000 0.500
Zn: 0.000 0.500 0.750
Zn: 0.500 0.000 0.250
Zn: 0.500 0.500 0.000
Cr: 0.248 0.750 0.625
Cr: 0.250 0.248 0.375
Cr: 0.250 0.252 0.875
Cr: 0.252 0.750 0.125
Cr: 0.748 0.250 0.125
Cr: 0.750 0.748 0.875
Cr: 0.750 0.752 0.375
Cr: 0.752 0.250 0.625

Computed properties:
Crystal system: tetragonal
Formation energy (eV/atom): 0.648
Final energy (eV per atom): -5.42

***

6.
AlZn2Cr: relaxed, PBE-GGA.

a b c (Å): 2.748 2.748 26.056
angles (deg): 90.00 90.00 120.00
Positions (direct):
Al: 0.000 0.000 0.000
Al: 0.333 0.667 0.667
Al: 0.667 0.333 0.333
Zn: 0.000 0.000 0.247
Zn: 0.000 0.000 0.753
Zn: 0.333 0.667 0.419
Zn: 0.333 0.667 0.914
Zn: 0.667 0.333 0.086
Zn: 0.667 0.333 0.581
Cr: 0.000 0.000 0.500
Cr: 0.333 0.667 0.167
Cr: 0.667 0.333 0.833

Computed properties:
Crystal system: trigonal
Formation energy (eV/atom): 0.201
Final energy (eV per atom): -3.78

***

7.
Al4ZnCr: relaxed, PBE-GGA.

a b c (Å): 5.147 5.147 5.147
angles (deg): 60.00 60.00 60.00
Positions (direct):
Al: 0.125 0.125 0.125
Al: 0.125 0.125 0.626
Al: 0.125 0.626 0.125
Al: 0.626 0.125 0.125
Zn: 0.500 0.500 0.500
Cr: 0.750 0.750 0.750

Computed properties:
Energy relative to the lowest polymorph listed for this composition (kJ per mole of atoms): 20.0
Crystal system: cubic
Formation energy (eV/atom): 0.230
Final energy (eV per atom): -4.08

***

8.
AlZnCr2: relaxed, PBE-GGA.

a b c (Å): 2.541 4.141 5.052
angles (deg): 90.00 103.74 90.00
Positions (direct):
Al: 0.000 0.000 0.000
Zn: 0.000 0.000 0.500
Cr: 0.491 0.500 0.767
Cr: 0.509 0.500 0.233

Computed properties:
Crystal system: monoclinic
Formation energy (eV/atom): 0.099
Final energy (eV per atom): -5.97

***

9.
AlZnCr2: relaxed, PBE-GGA.

a b c (Å): 3.060 4.269 8.164
angles (deg): 90.00 90.00 90.00
Positions (direct):
Al: 0.000 0.000 0.000
Al: 0.500 0.500 0.500
Zn: 0.000 0.500 0.238
Zn: 0.500 0.000 0.738
Cr: 0.000 0.000 0.475
Cr: 0.000 0.500 0.765
Cr: 0.500 0.000 0.265
Cr: 0.500 0.500 0.975

Computed properties:
Crystal system: orthorhombic
Formation energy (eV/atom): 0.047
Final energy (eV per atom): -6.02

***

10.
AlZn2Cr2: relaxed, PBE-GGA.

a b c (Å): 3.511 3.511 12.032
angles (deg): 90.00 90.00 90.00
Positions (direct):
Al: 0.000 0.000 0.000
Al: 0.500 0.500 0.500
Zn: 0.000 0.500 0.250
Zn: 0.000 0.500 0.750
Zn: 0.500 0.000 0.250
Zn: 0.500 0.000 0.750
Cr: 0.000 0.000 0.417
Cr: 0.000 0.000 0.583
Cr: 0.500 0.500 0.083
Cr: 0.500 0.500 0.917

Computed properties:
Energy relative to the lowest polymorph listed for this composition (kJ per mole of atoms): 14.7
Crystal system: tetragonal
Formation energy (eV/atom): 0.433
Final energy (eV per atom): -4.67

***

11.
AlZnCr: relaxed, PBE-GGA.

a b c (Å): 5.885 5.885 5.885
angles (deg): 90.00 90.00 90.00
Positions (direct):
Al: 0.000 0.000 0.000
Al: 0.000 0.500 0.500
Al: 0.500 0.000 0.500
Al: 0.500 0.500 0.000
Zn: 0.250 0.250 0.250
Zn: 0.250 0.750 0.750
Zn: 0.750 0.250 0.750
Zn: 0.750 0.750 0.250
Cr: 0.000 0.000 0.500
Cr: 0.000 0.500 0.000
Cr: 0.500 0.000 0.000
Cr: 0.500 0.500 0.500

Computed properties:
Crystal system: cubic
Formation energy (eV/atom): 0.315
Final energy (eV per atom): -4.56

***

12.
Al4ZnCr: relaxed, PBE-GGA.

a b c (Å): 4.857 4.857 8.956
angles (deg): 90.00 90.00 123.46
Positions (direct):
Al: 0.001 0.999 0.500
Al: 0.176 0.824 0.247
Al: 0.333 0.667 0.989
Al: 0.498 0.502 0.240
Al: 0.502 0.498 0.740
Al: 0.667 0.333 0.489
Al: 0.824 0.176 0.747
Al: 0.999 0.001 0.000
Zn: 0.167 0.833 0.750
Zn: 0.833 0.167 0.250
Cr: 0.337 0.663 0.495
Cr: 0.663 0.337 0.995

Computed properties:
Energy relative to the lowest polymorph listed for this composition (kJ per mole of atoms): 0.0
Crystal system: orthorhombic
Formation energy (eV/atom): 0.023
Final energy (eV per atom): -4.29